# 1
VASP calculation (PBE) on MgFe2B4 after structural relaxation.

Unit cell a=2.986 b=3.123 c=12.721 alpha=90.00 beta=90.00 gamma=90.00
Space group Immm (No. 71)
Unique sites:
Mg 0.000 0.000 0.000
Fe 0.000 0.500 0.312
B 0.000 0.000 0.428
B 0.000 0.500 0.146

- total energy (eV/atom) = -6.6624
- relative energy among the computed polymorphs (kJ/mol of formula units) = 0.0
- E_form (meV/atom) = -201

=====

# 2
VASP calculation (PBE) on MgFe2B after structural relaxation.

Unit cell a=4.104 b=4.104 c=13.922 alpha=90.00 beta=90.00 gamma=90.00
Space group I-42d (No. 122)
Unique sites:
Mg 0.000 0.000 0.000
Fe 0.024 0.750 0.625
B 0.000 0.000 0.500

- total energy (eV/atom) = -5.6034
- E_form (meV/atom) = 696

=====

# 3
VASP calculation (PBE) on Mg14FeB after structural relaxation.

Unit cell a=6.2013 b=6.2013 c=9.6879 alpha=90.00 beta=90.00 gamma=120.00
Space group P-6m2 (No. 187)
Unique sites:
Mg 0.0000 0.0000 0.2486
Mg 0.0190 0.5095 0.2568
Mg 0.3293 0.1646 0.5000
Mg 0.3371 0.1685 0.0000
Fe 0.3333 0.6667 0.0000
B 0.3333 0.6667 0.5000

- total energy (eV/atom) = -2.1047
- relative energy among the computed polymorphs (kJ/mol of formula units) = 111.5
- E_form (meV/atom) = 237

=====

# 4
VASP calculation (PBE) on MgNbFeB2 after structural relaxation.

Unit cell a=4.312 b=4.312 c=4.644 alpha=90.00 beta=90.00 gamma=90.00
Space group P4/mmm (No. 123)
Unique sites:
Mg 0.000 0.000 0.000
Nb 0.500 0.500 0.500
Fe 0.500 0.500 0.000
B 0.000 0.500 0.500

- total energy (eV/atom) = -5.3569
- relative energy among the computed polymorphs (kJ/mol of formula units) = 261.0
- E_form (meV/atom) = 1339

=====

# 5
VASP calculation (PBE) on MgNbFeB2 after structural relaxation.

Unit cell a=3.816 b=3.816 c=4.315 alpha=90.00 beta=90.00 gamma=90.00
Space group P4/mmm (No. 123)
Unique sites:
Mg 0.000 0.000 0.000
Nb 0.500 0.500 0.000
Fe 0.000 0.000 0.500
B 0.000 0.500 0.500

- total energy (eV/atom) = -5.8978
- relative energy among the computed polymorphs (kJ/mol of formula units) = 0.0
- E_form (meV/atom) = 799

=====

# 6
VASP calculation (PBE) on MgFeNi2B after structural relaxation.

Unit cell a=3.884 b=3.884 c=3.850 alpha=90.00 beta=90.00 gamma=90.00
Space group P4/mmm (No. 123)
Unique sites:
Mg 0.000 0.000 0.000
Fe 0.500 0.500 0.000
Ni 0.000 0.500 0.500
B 0.500 0.500 0.500

- total energy (eV/atom) = -5.7931
- E_form (meV/atom) = -134